# PmSm2Pb3

An optimized crystal structure of PmSm2Pb3 (PBE, Alexandria).

VASP energy   -4.70 eV per atom
Total moment   0.000 μB per formula unit
Space-group type   C2/c (15)
Energy relative to the lowest polymorph listed for this composition   0.110 eV per formula unit
ΔH_f (0 K)   -0.48 eV/atom

Cell lengths 5.948, 8.722, 8.722 Å; angles 113.91, 103.70, 103.70 degrees
Sites, in units of the cell vectors:
1 Sm 0.250 0.251 0.749
2 Sm 0.750 0.749 0.251
3 Sm 0.750 0.084 0.916
4 Sm 0.250 0.916 0.084
5 Pm 0.250 0.583 0.417
6 Pm 0.750 0.417 0.583
7 Pb 0.500 0.000 0.500
8 Pb 0.500 0.668 0.835
9 Pb 0.000 0.165 0.332
10 Pb 0.500 0.332 0.165
11 Pb 0.000 0.835 0.668
12 Pb 0.000 0.500 0.000

=====

# Sn2IrRhI

An optimized crystal structure of Sn2IrRhI (PBE, Alexandria).

VASP energy   -4.25 eV per atom
Total moment   0.000 μB per formula unit
Space-group type   P4/mmm (123)
Uncorrected formation energy   901 meV/atom

Cell lengths 4.997, 5.299, 4.997 Å; angles 90.00, 90.00, 90.00 degrees
Sites, in units of the cell vectors:
1 Rh 0.000 0.000 0.000
2 I 0.000 0.500 0.000
3 Ir 0.500 0.500 0.500
4 Sn 0.500 0.000 0.000
5 Sn 0.000 0.000 0.500

=====

# Y3ScI

An optimized crystal structure of Y3ScI (PBE, Alexandria).

VASP energy   -4.92 eV per atom
Total moment   0.000 μB per formula unit
Space-group type   Pm-3m (221)
Energy relative to the lowest polymorph listed for this composition   1.472 eV per formula unit
Uncorrected formation energy   537 meV/atom

Cell lengths 5.684, 5.684, 5.684 Å; angles 90.00, 90.00, 90.00 degrees
Sites, in units of the cell vectors:
1 Y 0.000 0.000 0.500
2 Y 0.500 0.000 0.000
3 Y 0.000 0.500 0.000
4 Sc 0.000 0.000 0.000
5 I 0.500 0.500 0.500

=====

# CrNi

An optimized crystal structure of CrNi (PBE, Alexandria).

VASP energy   -7.61 eV per atom
Total moment   0.000 μB per formula unit
Space-group type   Amm2 (38)
ΔH_f (0 K)   0.09 eV/atom

Cell lengths 4.125, 2.473, 2.473 Å; angles 117.82, 90.00, 90.00 degrees
Sites, in units of the cell vectors:
1 Cr 0.923 0.429 0.975
2 Ni 0.423 0.771 0.633

=====

# Pr4NdIn4

An optimized crystal structure of Pr4NdIn4 (PBE, Alexandria).

VASP energy   -4.03 eV per atom
Total moment   0.000 μB per formula unit
Space-group type   P4_2/nmc (137)
ΔH_f (0 K)   -0.16 eV/atom

Cell lengths 7.283, 7.283, 11.095 Å; angles 90.00, 90.00, 90.00 degrees
Sites, in units of the cell vectors:
1 Pr 0.224 0.500 0.926
2 Pr 0.776 0.500 0.926
3 Pr 0.500 0.224 0.074
4 Pr 0.000 0.276 0.426
5 Pr 0.276 0.000 0.574
6 Pr 0.000 0.724 0.426
7 Pr 0.724 0.000 0.574
8 Pr 0.500 0.776 0.074
9 In 0.000 0.733 0.726
10 In 0.500 0.767 0.774
11 In 0.267 0.000 0.274
12 In 0.233 0.500 0.226
13 In 0.733 0.000 0.274
14 In 0.500 0.233 0.774
15 In 0.000 0.267 0.726
16 In 0.767 0.500 0.226
17 Nd 0.000 0.000 0.000
18 Nd 0.500 0.500 0.500

=====

# AsPtW2

An optimized crystal structure of AsPtW2 (PBE, Alexandria).

VASP energy   -8.95 eV per atom
Total moment   0.000 μB per formula unit
Space-group type   Cmm2 (35)
ΔH_f (0 K)   0.20 eV/atom

Cell lengths 2.808, 2.808, 8.691 Å; angles 90.00, 90.00, 104.47 degrees
Sites, in units of the cell vectors:
1 W 0.000 0.000 0.000
2 W 0.500 0.500 0.245
3 Pt 0.500 0.500 0.766
4 As 0.000 0.000 0.489

=====

# La5TlS8

An optimized crystal structure of La5TlS8 (PBE, Alexandria).

VASP energy   -6.28 eV per atom
Total moment   0.000 μB per formula unit
Space-group type   I-4 (82)
Uncorrected formation energy   -1991 meV/atom

Cell lengths 7.644, 7.644, 7.644 Å; angles 109.02, 109.02, 110.37 degrees
Sites, in units of the cell vectors:
1 La 0.504 0.622 0.387
2 La 0.750 0.250 0.500
3 La 0.235 0.117 0.613
4 La 0.883 0.496 0.118
5 La 0.378 0.765 0.882
6 S 0.611 0.502 0.741
7 S 0.974 0.713 0.584
8 S 0.130 0.389 0.891
9 S 0.287 0.870 0.261
10 S 0.498 0.239 0.109
11 S 0.130 0.391 0.416
12 S 0.761 0.870 0.259
13 S 0.609 0.026 0.739
14 Tl 0.000 0.000 0.000

=====

# V4Tc2Ge

An optimized crystal structure of V4Tc2Ge (PBE, Alexandria).

VASP energy   -7.91 eV per atom
Total moment   0.012 μB per formula unit
Space-group type   I4/mmm (139)
ΔH_f (0 K)   0.92 eV/atom

Cell lengths 4.419, 4.419, 6.884 Å; angles 71.28, 71.28, 90.00 degrees
Sites, in units of the cell vectors:
1 Tc 0.377 0.377 0.246
2 Tc 0.623 0.623 0.754
3 V 0.198 0.198 0.604
4 V 0.802 0.802 0.396
5 V 0.500 0.000 0.000
6 V 0.000 0.500 0.000
7 Ge 0.000 0.000 0.000